This record from Alexandria via LeMat-Bulk describes NbFe2TcBi after structural relaxation. The functional is PBE.

Output
Energy relative to the elements: 35.3 kcal/mol of atoms
VASP energy: -33.6 eV/cell
Spin magnetization: 0.003 μB per formula unit
Calculated volume: 19.7 A^3/atom
Crystal system: tetragonal
D(E_F): 2.13 states/eV per atom

```
NbFe2TcBi
1.0
4.383 0.000 0.000
0.000 5.128 0.000
0.000 0.000 4.383
Nb Fe Bi Tc
1 2 1 1
Direct
0.500 0.500 0.500
0.000 0.000 0.500
0.500 0.000 0.000
0.000 0.500 0.000
0.000 0.000 0.000
```